1.
A plane-wave DFT calculation with PBE was carried out for crystalline LaZr3In at its relaxed geometry.

Geometry as POSCAR:
```
LaZr3In
1.0
5.1340 0.0000 0.0000
0.0000 5.1340 0.0000
0.0000 0.0000 5.1340
Zr In La
3 1 1
Cartesian
0.0000 0.0000 2.5670
2.5670 0.0000 0.0000
0.0000 2.5670 0.0000
2.5670 2.5670 2.5670
0.0000 0.0000 0.0000
```

Computed properties:
Its density of states at the Fermi level is 2.808 states/eV per cell. As for the energy above the most stable polymorph in this dataset: 284.9 meV/atom.

2.
A plane-wave DFT calculation with PBE was carried out for crystalline LaZr2In2 at its relaxed geometry.

Geometry as POSCAR:
```
LaZr2In2
1.0
-4.2359 0.7420 -7.8336
-7.8670 -0.2154 4.2336
0.0577 3.1566 0.2678
La Zr In
2 4 4
Cartesian
-6.0515 0.2633 -1.8000
0.0000 0.0000 0.0000
-3.5899 0.4351 -4.3546
-8.6111 0.5179 -4.2493
-8.5131 0.0916 0.7546
-3.4919 0.0088 0.6492
-6.0048 1.5620 1.6260
-9.3260 1.9001 -1.6433
-2.7192 1.7832 -1.6889
-6.0404 2.1213 -4.9582
```

Computed properties:
Its density of states at the Fermi level is 10.500 states/eV per cell. As for the energy above the most stable polymorph in this dataset: 0.0 meV/atom.

3.
A plane-wave DFT calculation with PBE was carried out for crystalline La2ZrIn at its relaxed geometry.

Geometry as POSCAR:
```
La2ZrIn
1.0
5.9590 -0.0082 0.0000
2.0491 5.5956 0.0000
-4.0041 -2.7937 3.4165
La In Zr
2 1 1
Cartesian
1.0246 2.7978 1.7082
0.0000 0.0000 0.0000
2.9795 -0.0041 1.7082
4.0041 2.7937 0.0000
```

Computed properties:
Its density of states at the Fermi level is 5.733 states/eV per cell. The total DFT energy (no corrections) comes out at -21.67 eV for the cell shown.

4.
A plane-wave DFT calculation with PBE was carried out for crystalline La3ZrIn at its relaxed geometry.

Geometry as POSCAR:
```
La3ZrIn
1.0
5.9722 0.0000 0.0000
0.0000 5.9722 0.0000
0.0000 0.0000 5.9722
La In Zr
3 1 1
Cartesian
0.0000 0.0000 2.9861
2.9861 0.0000 0.0000
0.0000 2.9861 0.0000
0.0000 0.0000 0.0000
2.9861 2.9861 2.9861
```

Computed properties:
Its density of states at the Fermi level is 9.495 states/eV per cell. As for the energy above the most stable polymorph in this dataset: 377.7 meV/atom.

5.
A plane-wave DFT calculation with PBE was carried out for crystalline LaZr2In2 at its relaxed geometry.

Geometry as POSCAR:
```
LaZr2In2
1.0
8.5866 0.0000 0.0000
0.0000 8.5866 0.0000
0.0000 0.0000 3.4615
In Zr La
4 4 2
Cartesian
7.5298 5.3501 0.0000
5.3501 1.0568 0.0000
1.0568 3.2365 0.0000
3.2365 7.5298 0.0000
1.4981 5.7914 1.7308
2.7952 1.4981 1.7308
5.7914 7.0885 1.7308
7.0885 2.7952 1.7308
0.0000 0.0000 0.0000
4.2933 4.2933 0.0000
```

Computed properties:
Its density of states at the Fermi level is 8.968 states/eV per cell. As for the energy above the most stable polymorph in this dataset: 20.1 meV/atom.

6.
A plane-wave DFT calculation with PBE was carried out for crystalline La2ZrIn at its relaxed geometry.

Geometry as POSCAR:
```
La2ZrIn
1.0
5.4253 0.0000 0.0000
2.7127 4.6985 0.0000
2.7127 1.5662 4.4298
La Zr In
2 1 1
Cartesian
0.0000 0.0000 0.0000
2.7127 1.5662 1.1074
8.1380 4.6985 3.3223
5.4253 3.1323 2.2149
```

Computed properties:
Its density of states at the Fermi level is 7.521 states/eV per cell. The total DFT energy (no corrections) comes out at -21.25 eV for the cell shown.

7.
A plane-wave DFT calculation with PBE was carried out for crystalline La3ZrIn12 at its relaxed geometry.

Geometry as POSCAR:
```
La3ZrIn12
1.0
-3.9615 -1.7331 1.8749
2.4716 -1.7349 3.6186
-2.5646 16.1155 9.4782
In La Zr
12 3 1
Cartesian
-2.2762 0.9898 2.0292
0.2835 5.1169 5.3289
-0.7450 -1.7340 2.7467
-1.3767 2.2354 5.0813
-1.0334 13.3917 10.1957
-2.6779 10.4120 9.8903
-2.0273 6.3237 7.4858
-2.9331 5.1178 4.4571
-3.5930 9.2646 6.8960
-0.3765 9.2637 7.7679
0.9404 0.9889 2.9011
-4.2499 13.3926 9.3239
-0.6172 3.8783 2.2810
-1.2823 8.0577 4.7391
-1.9474 12.2372 7.1972
0.0000 0.0000 0.0000
```

Computed properties:
Its density of states at the Fermi level is 8.328 states/eV per cell. The total DFT energy (no corrections) comes out at -62.80 eV for the cell shown.

8.
A plane-wave DFT calculation with PBE was carried out for crystalline La2ZrIn at its relaxed geometry.

Geometry as POSCAR:
```
La2ZrIn
1.0
-2.1045 -4.3106 4.7557
4.4493 -3.5538 3.6333
-2.3830 6.0320 -1.8876
La In Zr
2 1 1
Cartesian
0.0497 -0.1668 0.1779
-1.6906 -0.9947 3.4131
1.6652 -0.8806 3.1340
1.1099 -3.7225 3.9708
```

Computed properties:
Its density of states at the Fermi level is 4.579 states/eV per cell. The total DFT energy (no corrections) comes out at -21.57 eV for the cell shown.

9.
A plane-wave DFT calculation with PBE was carried out for crystalline La2ZrIn at its relaxed geometry.

Geometry as POSCAR:
```
La2ZrIn
1.0
7.6501 0.0037 0.0117
-3.0533 5.1412 -0.0067
1.5435 0.9198 2.9343
La Zr In
2 1 1
Cartesian
0.0000 0.0000 0.0000
4.5968 0.4617 1.4730
-0.7549 3.0305 1.4638
2.2984 2.5724 0.0025
```

Computed properties:
Its density of states at the Fermi level is 6.166 states/eV per cell. The total DFT energy (no corrections) comes out at -21.58 eV for the cell shown.

10.
A plane-wave DFT calculation with PBE was carried out for crystalline La2ZrIn at its relaxed geometry.

Geometry as POSCAR:
```
La2ZrIn
1.0
-4.9811 -1.8848 -1.3098
0.2845 -2.4650 2.4653
-2.4984 3.7752 4.0690
Zr In La
1 1 2
Cartesian
-1.0088 0.2517 3.4741
-4.2519 0.4478 4.0432
-3.2264 -0.0865 0.9120
-2.3133 3.2427 4.1314
```

Computed properties:
Its density of states at the Fermi level is 5.384 states/eV per cell. The total DFT energy (no corrections) comes out at -21.72 eV for the cell shown.

11.
A plane-wave DFT calculation with PBE was carried out for crystalline LiIn4 at its relaxed geometry.

Geometry as POSCAR:
```
LiIn4
1.0
-0.3807 -3.1897 6.2015
4.8168 -2.2302 -4.5390
1.7146 6.6196 1.4211
In Li
8 2
Cartesian
2.3160 2.0394 3.3767
1.9304 -0.0192 -0.3292
4.3739 -0.7322 -3.3579
5.9913 2.7100 -2.2678
3.1041 3.3490 -0.2725
2.2188 -1.1380 3.0458
5.2032 1.4004 1.3814
4.6624 -1.8510 0.0170
2.2180 -2.7099 0.8312
4.3747 0.8397 -1.1434
```

Computed properties:
Its density of states at the Fermi level is 3.191 states/eV per cell. As for the energy above the most stable polymorph in this dataset: 28.5 meV/atom.

12.
A plane-wave DFT calculation with PBE was carried out for crystalline Li4In at its relaxed geometry.

Geometry as POSCAR:
```
Li4In
1.0
0.6388 -4.5675 2.4601
-4.9077 -0.9771 1.5106
1.5757 1.1517 -4.8490
Li In
4 1
Cartesian
-2.7474 -3.5684 2.5555
0.0400 -3.0940 -0.2018
-2.7332 -1.2988 -0.6765
-1.5216 -1.9762 1.4153
0.0000 0.0000 0.0000
```

Computed properties:
Its density of states at the Fermi level is 1.501 states/eV per cell. As for the energy above the most stable polymorph in this dataset: 160.2 meV/atom.

13.
A plane-wave DFT calculation with PBE was carried out for crystalline LiIn4 at its relaxed geometry.

Geometry as POSCAR:
```
LiIn4
1.0
6.0556 0.0000 0.0000
0.0000 5.9365 -2.0627
0.0000 0.1229 7.0664
Li In
2 8
Cartesian
1.7824 4.5138 1.9862
4.2732 1.5455 3.0175
2.6317 5.6678 -0.5618
3.4239 0.3916 5.5655
5.6829 5.0435 -0.0246
0.3727 2.0752 1.0067
3.4239 2.6995 0.4695
5.6829 3.9841 3.9970
2.6317 3.3598 4.5342
0.3727 1.0158 5.0283
```

Computed properties:
Its density of states at the Fermi level is 4.295 states/eV per cell. As for the energy above the most stable polymorph in this dataset: 0.0 meV/atom.

14.
A plane-wave DFT calculation with PBE was carried out for crystalline LiIn4 at its relaxed geometry.

Geometry as POSCAR:
```
LiIn4
1.0
5.1275 0.0000 0.0000
0.0000 5.1275 0.0000
0.0000 0.0000 5.1275
In Li
4 1
Cartesian
2.5638 2.5638 0.0000
2.5638 0.0000 2.5638
0.0000 0.0000 0.0000
0.0000 2.5638 2.5638
2.5638 2.5638 2.5638
```

Computed properties:
Its density of states at the Fermi level is 1.580 states/eV per cell. As for the energy above the most stable polymorph in this dataset: 144.9 meV/atom.

Taking the records one at a time from the top gives volume values of 27.1 25.3 28.5 42.6 25.5 28.2 26.2 30.1 28.8 29.2 25.8 17.9 25.6 27.0 A^3/atom.